## ThMgU (PBE)

Data for a geometry-optimized ThMgU structure.

Output
* energy above the most stable polymorph in this dataset: 0 meV per atom

a b c (Å): 5.027 5.027 5.027
angles (deg): 60.00 60.00 60.00
Atoms (fractional coordinates):
Th  0.000  0.000  0.000
Mg  0.250  0.250  0.250
U  0.500  0.500  0.500